Here is a relaxed ZnCdMo2 crystal from the Alexandria database. Energies are from PBE.

Unit cell a=5.3986 b=8.9678 c=2.7122 alpha=90.00 beta=90.00 gamma=90.00
Element x y z (fractional)
Zn (0.0000, 0.0000, 0.0000)
Zn (0.5000, 0.5000, 0.0000)
Cd (0.0000, 0.5000, 0.0000)
Cd (0.5000, 0.0000, 0.0000)
Mo (0.2500, 0.2500, 0.5000)
Mo (0.2500, 0.7500, 0.5000)
Mo (0.7500, 0.2500, 0.5000)
Mo (0.7500, 0.7500, 0.5000)

## Properties
- space-group type = Cmmm, No. 65
- ΔH_f (0 K) (kJ/mol of atoms) = 32.4
- E above lowest polymorph (meV/atom) = 153